DFT (GGA-PBEsol) results for crystalline YIOF2 at its relaxed geometry.

Calculated values
* D(E_F): 0.72 states/eV/atom
* energy relative to the lowest polymorph listed for this composition: 1635 meV/atom
* raw formation energy: -771.5 meV/atom

Unit cell a=3.969 b=5.046 c=5.046 alpha=90.00 beta=90.00 gamma=90.00
Sites, in units of the cell vectors:
I 0.000 0.000 0.000
Y 0.500 0.500 0.500
O 0.500 0.000 0.000
F 0.000 0.000 0.500
F 0.000 0.500 0.000

DFT (GGA-PBEsol) results for crystalline YIOF2 at its relaxed geometry.

Calculated values
* D(E_F): 0.37 states/eV/atom
* energy relative to the lowest polymorph listed for this composition: 0 meV/atom
* raw formation energy: -2406.6 meV/atom

Unit cell a=4.261 b=4.261 c=4.737 alpha=90.00 beta=90.00 gamma=90.00
Sites, in units of the cell vectors:
I 0.500 0.500 0.500
Y 0.000 0.000 0.000
O 0.000 0.000 0.500
F 0.000 0.500 0.000
F 0.500 0.000 0.000

DFT (GGA-PBEsol) results for crystalline ZrIO2F at its relaxed geometry.

Calculated values
* D(E_F): 0.48 states/eV/atom
* raw formation energy: -2.4 meV/atom

Unit cell a=3.819 b=4.329 c=4.329 alpha=90.00 beta=90.00 gamma=90.00
Last column: magnetic moment on the atom in μB.
Sites, in units of the cell vectors:
I 0.500 0.000 0.000  -0.01
O 0.000 0.000 0.500  0.21
O 0.000 0.500 0.000  0.21
Zr 0.500 0.500 0.500  -0.12
F 0.000 0.000 0.000  0.06

DFT (GGA-PBEsol) results for crystalline Os3IF at its relaxed geometry.

Calculated values
* D(E_F): 0.94 states/eV/atom
* raw formation energy: 3020.3 meV/atom

Unit cell a=4.818 b=4.818 c=4.818 alpha=90.00 beta=90.00 gamma=90.00
Last column: magnetic moment on the atom in μB.
Sites, in units of the cell vectors:
I 0.000 0.000 0.000  -0.04
Os 0.000 0.500 0.000  1.27
Os 0.000 0.000 0.500  1.27
Os 0.500 0.000 0.000  1.27
F 0.500 0.500 0.500  0.24

DFT (GGA-PBEsol) results for crystalline OsW2IF at its relaxed geometry.

Calculated values
* D(E_F): 1.38 states/eV/atom
* raw formation energy: 2273.6 meV/atom

Unit cell a=3.915 b=4.886 c=4.886 alpha=90.00 beta=90.00 gamma=90.00
Last column: magnetic moment on the atom in μB.
Sites, in units of the cell vectors:
I 0.000 0.000 0.000  0.01
Os 0.500 0.500 0.500  0.36
W 0.000 0.000 0.500  0.00
W 0.000 0.500 0.000  0.00
F 0.500 0.000 0.000  0.00

DFT (GGA-PBEsol) results for crystalline PS2IF at its relaxed geometry.

Calculated values
* D(E_F): 0.74 states/eV/atom
* raw formation energy: 695.2 meV/atom

Unit cell a=3.587 b=5.178 c=5.178 alpha=90.00 beta=90.00 gamma=90.00
Sites, in units of the cell vectors:
I 0.500 0.500 0.500
P 0.500 0.000 0.000
S 0.000 0.000 0.500
S 0.000 0.500 0.000
F 0.000 0.000 0.000

DFT (GGA-PBEsol) results for crystalline PbIF2 at its relaxed geometry.

Calculated values
* D(E_F): 0.77 states/eV/atom
* energy relative to the lowest polymorph listed for this composition: 167 meV/atom
* raw formation energy: -1313.7 meV/atom

Unit cell a=7.175 b=7.014 c=7.175 alpha=59.24 beta=90.00 gamma=120.76
Last column: magnetic moment on the atom in μB.
Sites, in units of the cell vectors:
Pb 0.750 0.500 0.750  0.01
Pb 0.000 0.000 0.000  0.01
I 0.250 0.500 0.250  0.54
I 0.500 0.000 0.500  0.54
F 0.783 0.750 0.375  0.01
F 0.967 0.750 0.875  0.01
F 0.875 0.250 0.783  0.01
F 0.375 0.250 0.967  0.01

DFT (GGA-PBEsol) results for crystalline Pb4IF7 at its relaxed geometry.

Calculated values
* D(E_F): 0.00 states/eV/atom
* raw formation energy: -2129.8 meV/atom

Unit cell a=5.964 b=6.043 c=12.677 alpha=76.21 beta=90.00 gamma=90.00
Sites, in units of the cell vectors:
Pb 0.250 0.823 0.353
Pb 0.750 0.177 0.647
Pb 0.250 0.453 0.095
Pb 0.750 0.547 0.905
Pb 0.250 0.654 0.691
Pb 0.750 0.346 0.309
Pb 0.250 0.059 0.881
Pb 0.750 0.941 0.119
I 0.250 0.250 0.500
I 0.750 0.750 0.500
F 0.980 0.889 0.756
F 0.480 0.111 0.244
F 0.020 0.645 0.244
F 0.520 0.355 0.756
F 0.020 0.111 0.244
F 0.520 0.889 0.756
F 0.980 0.355 0.756
F 0.480 0.645 0.244
F 0.000 0.775 0.000
F 0.500 0.225 0.000
F 0.750 0.438 0.124
F 0.250 0.562 0.876
F 0.500 0.775 0.000
F 0.000 0.225 0.000

DFT (GGA-PBEsol) results for crystalline PbIF3 at its relaxed geometry.

Calculated values
* D(E_F): 0.30 states/eV/atom
* raw formation energy: -789.0 meV/atom

Unit cell a=4.737 b=4.737 c=4.737 alpha=90.00 beta=90.00 gamma=90.00
Sites, in units of the cell vectors:
F 0.000 0.500 0.500
F 0.500 0.000 0.500
F 0.500 0.500 0.000
I 0.500 0.500 0.500
Pb 0.000 0.000 0.000

DFT (GGA-PBEsol) results for crystalline PbIF2 at its relaxed geometry.

Calculated values
* D(E_F): 0.41 states/eV/atom
* energy relative to the lowest polymorph listed for this composition: 0 meV/atom
* raw formation energy: -1480.7 meV/atom

Unit cell a=3.705 b=3.705 c=10.157 alpha=79.49 beta=79.49 gamma=60.00
Sites, in units of the cell vectors:
Pb 0.500 0.500 0.500
I 0.000 0.000 0.000
F 0.872 0.872 0.383
F 0.128 0.128 0.617

DFT (GGA-PBEsol) results for crystalline PdIF2 at its relaxed geometry.

Calculated values
* D(E_F): 0.38 states/eV/atom
* raw formation energy: -634.9 meV/atom

Unit cell a=3.316 b=3.316 c=9.447 alpha=79.89 beta=79.89 gamma=60.00
Last column: magnetic moment on the atom in μB.
Sites, in units of the cell vectors:
I 0.000 0.000 0.000  0.01
Pd 0.500 0.500 0.500  1.42
F 0.871 0.871 0.387  0.24
F 0.129 0.129 0.613  0.24

DFT (GGA-PBEsol) results for crystalline PtI2F at its relaxed geometry.

Calculated values
* D(E_F): 0.91 states/eV/atom
* raw formation energy: -169.0 meV/atom

Unit cell a=6.171 b=6.171 c=6.171 alpha=111.32 beta=108.55 gamma=108.55
Sites, in units of the cell vectors:
I 0.022 0.647 0.125
I 0.978 0.103 0.625
I 0.522 0.875 0.897
I 0.478 0.375 0.353
Pt 0.500 0.750 0.250
Pt 0.000 0.000 0.000
F 0.500 0.250 0.750
F 0.000 0.500 0.500

DFT (GGA-PBEsol) results for crystalline PtI3F at its relaxed geometry.

Calculated values
* D(E_F): 2.01 states/eV/atom
* raw formation energy: 149.7 meV/atom

Unit cell a=5.339 b=5.339 c=5.339 alpha=90.00 beta=90.00 gamma=90.00
Last column: magnetic moment on the atom in μB.
Sites, in units of the cell vectors:
I 0.000 0.500 0.000  0.12
I 0.000 0.000 0.500  0.12
I 0.500 0.000 0.000  0.12
Pt 0.000 0.000 0.000  0.08
F 0.500 0.500 0.500  0.36

DFT (GGA-PBEsol) results for crystalline RbI3F at its relaxed geometry.

Calculated values
* D(E_F): 1.00 states/eV/atom
* raw formation energy: -598.5 meV/atom

Unit cell a=5.390 b=5.390 c=5.390 alpha=90.00 beta=90.00 gamma=90.00
Sites, in units of the cell vectors:
I 0.000 0.500 0.000
I 0.000 0.000 0.500
I 0.500 0.000 0.000
Rb 0.500 0.500 0.500
F 0.000 0.000 0.000

DFT (GGA-PBEsol) results for crystalline Rb2IF at its relaxed geometry.

Calculated values
* D(E_F): 0.00 states/eV/atom
* raw formation energy: -2016.0 meV/atom

Unit cell a=7.269 b=7.269 c=7.269 alpha=104.32 beta=112.11 gamma=112.11
Sites, in units of the cell vectors:
I 0.000 0.000 0.000
I 0.500 0.750 0.250
Rb 0.907 0.532 0.125
Rb 0.093 0.218 0.625
Rb 0.593 0.375 0.468
Rb 0.407 0.875 0.782
F 0.000 0.500 0.500
F 0.500 0.250 0.750

DFT (GGA-PBEsol) results for crystalline RbSb2IF at its relaxed geometry.

Calculated values
* D(E_F): 0.66 states/eV/atom
* raw formation energy: -526.1 meV/atom

Unit cell a=4.762 b=4.762 c=6.725 alpha=90.00 beta=90.00 gamma=90.00
Sites, in units of the cell vectors:
I 0.000 0.000 0.500
Sb 0.000 0.500 0.000
Sb 0.500 0.000 0.000
Rb 0.500 0.500 0.500
F 0.000 0.000 0.000

DFT (GGA-PBEsol) results for crystalline ReIF2 at its relaxed geometry.

Calculated values
* D(E_F): 0.30 states/eV/atom
* raw formation energy: 343.8 meV/atom

Unit cell a=4.421 b=4.421 c=4.421 alpha=60.00 beta=60.00 gamma=60.00
Last column: magnetic moment on the atom in μB.
Sites, in units of the cell vectors:
I 0.000 0.000 0.000  -0.11
Re 0.500 0.500 0.500  3.29
F 0.250 0.250 0.250  0.11
F 0.750 0.750 0.750  0.11

DFT (GGA-PBEsol) results for crystalline Rh3IF at its relaxed geometry.

Calculated values
* D(E_F): 1.28 states/eV/atom
* raw formation energy: 844.3 meV/atom

Unit cell a=4.320 b=4.320 c=4.320 alpha=90.00 beta=90.00 gamma=90.00
Last column: magnetic moment on the atom in μB.
Sites, in units of the cell vectors:
I 0.500 0.500 0.500  0.10
Rh 0.000 0.500 0.000  0.97
Rh 0.000 0.000 0.500  0.97
Rh 0.500 0.000 0.000  0.97
F 0.000 0.000 0.000  0.10

DFT (GGA-PBEsol) results for crystalline RhI2F at its relaxed geometry.

Calculated values
* D(E_F): 1.07 states/eV/atom
* raw formation energy: -175.0 meV/atom

Unit cell a=4.695 b=4.695 c=4.695 alpha=60.00 beta=60.00 gamma=60.00
Sites, in units of the cell vectors:
I 0.250 0.250 0.250
I 0.750 0.750 0.750
Rh 0.500 0.500 0.500
F 0.000 0.000 0.000

DFT (GGA-PBEsol) results for crystalline Ru3IF at its relaxed geometry.

Calculated values
* D(E_F): 0.72 states/eV/atom
* raw formation energy: 1986.9 meV/atom

Unit cell a=4.813 b=4.813 c=4.813 alpha=90.00 beta=90.00 gamma=90.00
Last column: magnetic moment on the atom in μB.
Sites, in units of the cell vectors:
I 0.000 0.000 0.000  -0.03
Ru 0.000 0.500 0.000  1.41
Ru 0.000 0.000 0.500  1.41
Ru 0.500 0.000 0.000  1.41
F 0.500 0.500 0.500  0.15

DFT (GGA-PBEsol) results for crystalline Sb2SIF at its relaxed geometry.

Calculated values
* D(E_F): 0.82 states/eV/atom
* raw formation energy: 323.2 meV/atom

Unit cell a=5.107 b=5.107 c=5.434 alpha=90.00 beta=90.00 gamma=90.00
Sites, in units of the cell vectors:
I 0.000 0.000 0.500
Sb 0.000 0.500 0.000
Sb 0.500 0.000 0.000
S 0.000 0.000 0.000
F 0.500 0.500 0.500

DFT (GGA-PBEsol) results for crystalline Te2SIF at its relaxed geometry.

Calculated values
* D(E_F): 1.39 states/eV/atom
* raw formation energy: 364.4 meV/atom

Unit cell a=5.169 b=5.169 c=5.235 alpha=90.00 beta=90.00 gamma=90.00
Sites, in units of the cell vectors:
I 0.000 0.000 0.500
S 0.000 0.000 0.000
Te 0.000 0.500 0.000
Te 0.500 0.000 0.000
F 0.500 0.500 0.500

DFT (GGA-PBEsol) results for crystalline Sb2I2F11 at its relaxed geometry.

Calculated values
* D(E_F): 0.28 states/eV/atom
* raw formation energy: -1945.4 meV/atom

Unit cell a=5.066 b=7.809 c=7.809 alpha=66.66 beta=75.18 gamma=75.18
Last column: magnetic moment on the atom in μB.
Sites, in units of the cell vectors:
F 0.500 0.475 0.525  0.00
F 0.539 0.815 0.780  0.00
F 0.461 0.220 0.185  0.00
F 0.201 0.814 0.557  0.00
F 0.799 0.443 0.186  0.00
F 0.298 0.510 0.862  0.00
F 0.702 0.138 0.490  0.00
F 0.840 0.484 0.733  0.00
F 0.160 0.267 0.516  0.00
F 0.736 0.782 0.416  0.00
F 0.264 0.584 0.218  0.00
I 0.833 0.953 0.927  0.05
I 0.167 0.073 0.047  0.05
Sb 0.524 0.656 0.649  0.00
Sb 0.476 0.351 0.344  0.00

DFT (GGA-PBEsol) results for crystalline SbI2F at its relaxed geometry.

Calculated values
* raw formation energy: -308.4 meV/atom

Unit cell a=6.655 b=6.655 c=6.655 alpha=71.32 beta=70.13 gamma=109.87
Sites, in units of the cell vectors:
I 0.985 0.125 0.390
I 0.015 0.625 0.860
I 0.515 0.390 0.625
I 0.485 0.860 0.125
Sb 0.000 0.000 0.000
Sb 0.500 0.250 0.250
F 0.000 0.500 0.500
F 0.500 0.750 0.750

DFT (GGA-PBEsol) results for crystalline SbI2F6 at its relaxed geometry.

Calculated values
* raw formation energy: -1769.1 meV/atom

Unit cell a=5.933 b=7.947 c=8.229 alpha=77.79 beta=80.96 gamma=82.44
Sites, in units of the cell vectors:
F 0.191 0.164 0.383
F 0.809 0.836 0.617
F 0.707 0.426 0.232
F 0.293 0.574 0.768
F 0.307 0.406 0.115
F 0.693 0.594 0.885
F 0.589 0.124 0.190
F 0.411 0.876 0.810
F 0.582 0.183 0.508
F 0.418 0.817 0.492
F 0.289 0.474 0.421
F 0.711 0.526 0.579
I 0.109 0.246 0.936
I 0.891 0.754 0.064
I 0.895 0.090 0.767
I 0.105 0.910 0.233
Sb 0.450 0.298 0.313
Sb 0.550 0.702 0.687

DFT (GGA-PBEsol) results for crystalline SrSb2IF at its relaxed geometry.

Calculated values
* D(E_F): 0.74 states/eV/atom
* raw formation energy: -847.4 meV/atom

Unit cell a=4.700 b=4.700 c=6.228 alpha=90.00 beta=90.00 gamma=90.00
Sites, in units of the cell vectors:
I 0.000 0.000 0.500
Sb 0.000 0.500 0.000
Sb 0.500 0.000 0.000
F 0.000 0.000 0.000
Sr 0.500 0.500 0.500